Entry 1:
# Sb3CF PBE relaxed
data_Sb3CF
_chemical_formula_sum 'Sb3 C1 F1'
_cell_length_a 4.768
_cell_length_b 4.768
_cell_length_c 4.768
_cell_angle_alpha 90.00
_cell_angle_beta 90.00
_cell_angle_gamma 90.00
_space_group_name_H-M_alt 'P m -3 m'
_space_group_IT_number 221
_space_group_name_Hall '-P 4 2 3'
loop_
_atom_site_label
_atom_site_type_symbol
_atom_site_fract_x
_atom_site_fract_y
_atom_site_fract_z
Sb1 Sb 0.000 0.000 0.500
C1 C 0.000 0.000 0.000
F1 F 0.500 0.500 0.500
# Formation energy without anion corrections ... 3.23 eV per formula unit
# ΔE to the lowest computed polymorph ... 0 meV per atom
# D(E_F) ... 3.3 states/eV per cell

Entry 2:
# SbC3F PBE relaxed
data_SbC3F
_chemical_formula_sum 'Sb1 C3 F1'
_cell_length_a 3.878
_cell_length_b 3.878
_cell_length_c 3.878
_cell_angle_alpha 90.00
_cell_angle_beta 90.00
_cell_angle_gamma 90.00
_space_group_name_H-M_alt 'P m -3 m'
_space_group_IT_number 221
_space_group_name_Hall '-P 4 2 3'
loop_
_atom_site_label
_atom_site_type_symbol
_atom_site_fract_x
_atom_site_fract_y
_atom_site_fract_z
Sb1 Sb 0.000 0.000 0.000
C1 C 0.000 0.500 0.500
F1 F 0.500 0.500 0.500
# Formation energy without anion corrections ... 14.77 eV per formula unit
# ΔE to the lowest computed polymorph ... 33 meV per atom
# D(E_F) ... 3.1 states/eV per cell

What did the second record say?
# SbC3F PBE relaxed
data_SbC3F
_chemical_formula_sum 'Sb1 C3 F1'
_cell_length_a 3.878
_cell_length_b 3.878
_cell_length_c 3.878
_cell_angle_alpha 90.00
_cell_angle_beta 90.00
_cell_angle_gamma 90.00
_space_group_name_H-M_alt 'P m -3 m'
_space_group_IT_number 221
_space_group_name_Hall '-P 4 2 3'
loop_
_atom_site_label
_atom_site_type_symbol
_atom_site_fract_x
_atom_site_fract_y
_atom_site_fract_z
Sb1 Sb 0.000 0.000 0.000
C1 C 0.000 0.500 0.500
F1 F 0.500 0.500 0.500
# Formation energy without anion corrections ... 14.77 eV per formula unit
# ΔE to the lowest computed polymorph ... 33 meV per atom
# D(E_F) ... 3.1 states/eV per cell

Q: D(E_F) of number 2 (SbC3F)?
A: 3.1 states/eV per cell